# 1
Here is an optimized crystal structure of Be2ReRu from Alexandria. Energies are from GGA-PBEsol.

The space group is R-3m (No. 166, hexagonal axes) and the conventional cell measures 2.6586, 2.6586 and 22.8931 Å, with angles of 90.00, 90.00 and 120.00 degrees. The inequivalent atoms are Be at (0.0000, 0.0000, 0.2467), Re at (0.0000, 0.0000, 0.0000) and Ru at (0.0000, 0.0000, 0.5000).

The calculation puts the calculated density at 10.9 g cm⁻³. The formation energy comes out at 117 meV/atom. The total energy is -7.759 eV per atom. The calculation puts the density of states at the Fermi level at 0.54 states/eV per atom. The calculation puts the volume at 140.1 Å³/cell.

# 2
Here is an optimized crystal structure of Be3ReS from Alexandria. Energies are from GGA-PBEsol.

The space group is Pm-3m (No. 221) and the conventional cell measures 3.9164, 3.9164 and 3.9164 Å, with angles of 90.00, 90.00 and 90.00 degrees. The inequivalent atoms are Be at (0.0000, 0.0000, 0.5000), Re at (0.5000, 0.5000, 0.5000) and S at (0.0000, 0.0000, 0.0000).

The calculation puts the calculated density at 6.8 g cm⁻³. The calculation puts the formation energy from raw total energies at 1.002 eV/atom. The total energy is -4.942 eV per atom. The calculation puts the density of states at the Fermi level at 0.66 states/eV per atom. The calculation puts the volume at 60.1 Å³/cell.

Question: Look up the calculated density of the first one.
Answer: 10.9 g cm⁻³